6
Lattice="3.608 0.000 0.000 0.000 4.365 0.000 0.000 0.000 7.531" Properties=species:S:1:pos:R:3 comment="Er2Zn3Ge | Alexandria | PBE-GGA | relaxed" e_above_lowest_polymorph_mev_per_atom=23 crystal_system=orthorhombic dos_ef_per_ev_fu=2.93 ef_kj_per_mol_fu=-284 pbc="T T T"
Er 0.000 0.000 0.000
Er 0.000 2.182 3.663
Zn 1.804 0.000 5.032
Zn 1.804 2.182 1.141
Zn 1.804 2.182 6.188
Ge 1.804 0.000 2.495